[1]
# K4Dy3MnTe8 GGA-PBE relaxed
data_K4Dy3MnTe8
_cell_length_a 8.8541
_cell_length_b 8.8541
_cell_length_c 24.7341
_cell_angle_alpha 90.00
_cell_angle_beta 90.00
_cell_angle_gamma 120.00
_symmetry_space_group_name_H-M 'R -3 m'
_symmetry_Int_Tables_number 166
_symmetry_space_group_name_Hall '-R 3 2"'
loop_
_atom_site_label
_atom_site_type_symbol
_atom_site_fract_x
_atom_site_fract_y
_atom_site_fract_z
K1 K 0.0000 0.0000 0.0000
K2 K 0.0000 0.5000 0.0000
Dy1 Dy 0.0000 0.5000 0.5000
Mn1 Mn 0.0000 0.0000 0.5000
Te1 Te 0.0000 0.0000 0.2370
Te2 Te 0.0167 0.5084 0.2332
# - Final energy: -4.4210 eV/atom
# - Energy relative to the elements, uncorrected: -110 kJ/mol of atoms

=====

[2]
# KDyMnTe3 GGA-PBE relaxed
data_KDyMnTe3
_cell_length_a 9.666
_cell_length_b 4.466
_cell_length_c 10.464
_cell_angle_alpha 90.00
_cell_angle_beta 108.01
_cell_angle_gamma 90.00
_symmetry_space_group_name_H-M 'P 1 21/m 1'
_symmetry_Int_Tables_number 11
loop_
_symmetry_equiv_pos_as_xyz
'x,y,z'
'-x,-y,-z'
'-x,y+1/2,-z'
'x,-y+1/2,z'
loop_
_atom_site_label
_atom_site_type_symbol
_atom_site_fract_x
_atom_site_fract_y
_atom_site_fract_z
K1 K 0.206 0.250 0.237
Dy1 Dy 0.331 0.750 0.860
Mn1 Mn 0.084 0.250 0.606
Te1 Te 0.107 0.250 0.866
Te2 Te 0.215 0.750 0.536
Te3 Te 0.460 0.750 0.166
# - Final energy: -5.0125 eV/atom
# - Energy relative to the elements, uncorrected: -93 kJ/mol of atoms

=====

[3]
# KDyMoN3 GGA-PBE relaxed
data_KDyMoN3
_cell_length_a 13.524
_cell_length_b 3.887
_cell_length_c 7.887
_cell_angle_alpha 90.00
_cell_angle_beta 104.19
_cell_angle_gamma 90.00
_symmetry_space_group_name_H-M 'C 1 2/m 1'
_symmetry_Int_Tables_number 12
loop_
_symmetry_equiv_pos_as_xyz
'x,y,z'
'-x,-y,-z'
'-x,y,-z'
'x,-y,z'
'x+1/2,y+1/2,z'
'-x+1/2,-y+1/2,-z'
'-x+1/2,y+1/2,-z'
'x+1/2,-y+1/2,z'
loop_
_atom_site_label
_atom_site_type_symbol
_atom_site_fract_x
_atom_site_fract_y
_atom_site_fract_z
K1 K 0.148 0.000 0.070
Dy1 Dy 0.162 0.000 0.582
Mo1 Mo 0.006 0.500 0.321
N1 N 0.012 0.000 0.346
N2 N 0.135 0.500 0.784
N3 N 0.162 0.500 0.367
# - Final energy: -7.4797 eV/atom
# - Energy relative to the elements, uncorrected: -54 kJ/mol of atoms

=====

Among the records above, which one has the highest final energy? K4Dy3MnTe8